[1]
# ScCrP2Cl, optimized geometry, DFT PBE
# Formation energy from raw total energies (eV/atom): -0.10
# Energy relative to the lowest polymorph listed for this composition (meV per atom): 0
# ρ (g/cm3): 3.5
data_ScCrP2Cl
_chemical_formula_sum 'Sc1 Cr1 P2 Cl1'
_space_group_name_H-M_alt 'P 4/m m m'
_space_group_IT_number 123
_space_group_name_Hall '-P 4 2'
_cell_length_a 4.391
_cell_length_b 4.391
_cell_length_c 4.834
_cell_angle_alpha 90.00
_cell_angle_beta 90.00
_cell_angle_gamma 90.00
loop_
_atom_site_label
_atom_site_fract_x
_atom_site_fract_y
_atom_site_fract_z
Sc1 0.000 0.000 0.000
Cr1 0.500 0.500 0.500
P1 0.000 0.500 0.500
Cl1 0.500 0.500 0.000


[2]
# ScCrP2Cl, optimized geometry, DFT PBE
# Formation energy from raw total energies (eV/atom): 0.63
# Energy relative to the lowest polymorph listed for this composition (meV per atom): 730
# ρ (g/cm3): 2.7
data_ScCrP2Cl
_chemical_formula_sum 'Sc1 Cr1 P2 Cl1'
_space_group_name_H-M_alt 'P 4/m m m'
_space_group_IT_number 123
_space_group_name_Hall '-P 4 2'
_cell_length_a 4.975
_cell_length_b 4.975
_cell_length_c 4.772
_cell_angle_alpha 90.00
_cell_angle_beta 90.00
_cell_angle_gamma 90.00
loop_
_atom_site_label
_atom_site_fract_x
_atom_site_fract_y
_atom_site_fract_z
Sc1 0.000 0.000 0.000
Cr1 0.500 0.500 0.500
P1 0.000 0.500 0.000
Cl1 0.000 0.000 0.500


[3]
# ScCrPCl2, optimized geometry, DFT PBE
# Formation energy from raw total energies (eV/atom): -0.44
# Energy relative to the lowest polymorph listed for this composition (meV per atom): 0
# ρ (g/cm3): 2.7
data_ScCrPCl2
_chemical_formula_sum 'Sc1 Cr1 P1 Cl2'
_space_group_name_H-M_alt 'P 4/m m m'
_space_group_IT_number 123
_space_group_name_Hall '-P 4 2'
_cell_length_a 4.805
_cell_length_b 4.805
_cell_length_c 5.352
_cell_angle_alpha 90.00
_cell_angle_beta 90.00
_cell_angle_gamma 90.00
loop_
_atom_site_label
_atom_site_fract_x
_atom_site_fract_y
_atom_site_fract_z
Sc1 0.000 0.000 0.000
Cr1 0.500 0.500 0.500
P1 0.000 0.000 0.500
Cl1 0.000 0.500 0.000